1.
A relaxed structure of Y3Si2. Source: Alexandria, functional GGA-PBE.

Unit cell a=4.2611 b=4.2611 c=27.0638 alpha=90.00 beta=90.00 gamma=120.00
Closest atoms and distances in Å follow each position.
Space group R-3m (No. 166, hexagonal axes)
One atom of each set of equivalent atoms:
Y 0.0000 0.0000 0.0000 [3 per cell]  6 Si 2.97
Y 0.0000 0.0000 0.2220 [6 per cell]  3 Si 2.81
Si 0.0000 0.0000 0.3948 [6 per cell]  6 Y 2.81-2.97

2.
A relaxed structure of SrCdNi. Source: Alexandria, functional GGA-PBE.

Unit cell a=3.5893 b=3.5893 c=10.9927 alpha=90.00 beta=90.00 gamma=90.00
Closest atoms and distances in Å follow each position.
Space group I4mm (No. 107)
One atom of each set of equivalent atoms:
Sr 0.0000 0.0000 0.0000 [2 per cell]  5 Cd 3.13-3.47, 5 Ni 3.30-3.38
Cd 0.0000 0.0000 0.2844 [2 per cell]  4 Ni 2.73
Ni 0.0000 0.0000 0.6922 [2 per cell]  4 Cd 2.73

Calculated values
**Formation energy from the elements**: 6 kJ/mol of formula units

3.
A relaxed structure of Hg2PtSe. Source: Alexandria, functional GGA-PBE.

Unit cell a=3.3700 b=3.3700 c=9.6391 alpha=90.00 beta=90.00 gamma=90.00
Closest atoms and distances in Å follow each position.
Space group P4mm (No. 99)
One atom of each set of equivalent atoms:
Hg 0.0000 0.0000 0.0000 [1 per cell]  8 Hg 3.37-3.60
Hg 0.5000 0.5000 0.2796 [1 per cell]  8 Hg 3.37-3.60, 1 Se 3.77
Pt 0.0000 0.0000 0.5883 [1 per cell]  4 Se 2.51
Se 0.5000 0.5000 0.6704 [1 per cell]  4 Pt 2.51

Calculated values
**Energy above the most stable polymorph in this dataset**: 108.8 meV per atom

4.
A relaxed structure of Nd6Ru2CI3. Source: Alexandria, functional GGA-PBE.

Unit cell a=7.1148 b=12.2991 c=8.3600 alpha=90.00 beta=106.51 gamma=90.00
Closest atoms and distances in Å follow each position.
Space group C2/m (No. 12)
One atom of each set of equivalent atoms:
Nd 0.2153 0.1569 0.1773 [8 per cell]  1 C 2.64, 2 Ru 2.82-2.83
Nd 0.2446 0.5000 0.1779 [4 per cell]  1 C 2.66, 2 Ru 2.83
Ru 0.0000 0.3330 0.0000 [4 per cell]  6 Nd 2.82-2.83
C 0.0000 0.0000 0.0000 [2 per cell]  6 Nd 2.64-2.66
I 0.0000 0.1678 0.5000 [4 per cell]  6 Nd 3.46-3.60
I 0.0000 0.5000 0.5000 [2 per cell]  6 Nd 3.46-3.60

5.
A relaxed structure of Sm11Tl4Hg9. Source: Alexandria, functional GGA-PBE.

Unit cell a=16.4474 b=21.7325 c=3.7250 alpha=90.00 beta=90.00 gamma=90.00
Closest atoms and distances in Å follow each position.
Space group Cmmm (No. 65)
One atom of each set of equivalent atoms:
Sm 0.0000 0.0000 0.0000 [2 per cell]  8 Hg 3.24
Sm 0.0000 0.1834 0.0000 [4 per cell]  8 Hg 3.26-3.27
Sm 0.0000 0.3601 0.0000 [4 per cell]  4 Tl 3.35, 6 Hg 3.38-3.56, 2 Sm 3.72
Sm 0.2244 0.0000 0.0000 [4 per cell]  4 Tl 3.29, 4 Hg 3.33
Sm 0.2331 0.1713 0.0000 [8 per cell]  6 Hg 3.28-3.36, 2 Tl 3.31, 1 Sm 3.47
Tl 0.1504 0.4189 0.5000 [8 per cell]  2 Hg 3.04-3.33, 6 Sm 3.29-3.35
Hg 0.0000 0.5000 0.5000 [2 per cell]  4 Tl 3.04
Hg 0.1074 0.0910 0.5000 [8 per cell]  8 Sm 3.24-3.33, 1 Hg 3.53
Hg 0.1197 0.2673 0.5000 [8 per cell]  8 Sm 3.27-3.38, 1 Tl 3.33

Calculated values
**Formation energy from the elements**: -908 kJ/mol of formula units

6.
A relaxed structure of ZrIn2GeS. Source: Alexandria, functional GGA-PBE.

Unit cell a=5.2560 b=5.2560 c=4.8909 alpha=90.00 beta=90.00 gamma=90.00
Closest atoms and distances in Å follow each position.
Space group P4/mmm (No. 123)
One atom of each set of equivalent atoms:
Zr 0.0000 0.0000 0.0000 [1 per cell]  2 S 2.45
In 0.0000 0.5000 0.5000 [2 per cell]  2 S 2.63
Ge 0.5000 0.5000 0.0000 [1 per cell]  8 In 3.59, 4 Zr 3.72
S 0.0000 0.0000 0.5000 [1 per cell]  2 Zr 2.45, 4 In 2.63

Calculated values
**Energy above the most stable polymorph in this dataset**: 0.0 meV per atom

7.
A relaxed structure of La2YMg2. Source: Alexandria, functional GGA-PBE.

Unit cell a=3.8822 b=20.9090 c=3.7924 alpha=90.00 beta=90.00 gamma=90.00
Closest atoms and distances in Å follow each position.
Space group Cmmm (No. 65)
One atom of each set of equivalent atoms:
La 0.0000 0.1851 0.0000 [4 per cell]  2 La 3.34, 4 Mg 3.42
Y 0.0000 0.0000 0.0000 [2 per cell]  8 Mg 3.25
Mg 0.0000 0.4144 0.5000 [4 per cell]  4 Y 3.25, 4 La 3.42, 1 Mg 3.58

Calculated values
**Formation energy from the elements**: -5 kJ/mol of formula units
**Energy above the most stable polymorph in this dataset**: 0.0 meV per atom

8.
A relaxed structure of Ce3As2N. Source: Alexandria, functional GGA-PBE.

Unit cell a=10.8455 b=8.2343 c=6.2742 alpha=90.00 beta=90.00 gamma=90.00
Closest atoms and distances in Å follow each position.
Space group Cmcm (No. 63)
One atom of each set of equivalent atoms:
Ce 0.0000 0.1407 0.2500 [4 per cell]  1 N 2.24
Ce 0.1616 0.5000 0.0000 [8 per cell]  2 N 2.46
As 0.1482 0.1843 0.7500 [8 per cell]  5 Ce 3.00-3.12, 1 As 3.21
N 0.0000 0.4124 0.2500 [4 per cell]  5 Ce 2.24-2.46

9.
A relaxed structure of Y2BeFe. Source: Alexandria, functional GGA-PBE.

Unit cell a=3.2393 b=3.2393 c=7.6459 alpha=90.00 beta=90.00 gamma=90.00
Closest atoms and distances in Å follow each position.
Space group P4mm (No. 99)
One atom of each set of equivalent atoms:
Y 0.0000 0.0000 0.0000 [1 per cell]  1 Be 2.70, 4 Fe 3.01
Y 0.5000 0.5000 0.3999 [1 per cell]  1 Fe 2.63
Be 0.0000 0.0000 0.6465 [1 per cell]  4 Fe 2.41
Fe 0.5000 0.5000 0.7437 [1 per cell]  4 Be 2.41, 1 Y 2.63

Calculated values
**Formation energy from the elements**: 58 kJ/mol of formula units

10.
A relaxed structure of SrNd3Hg2. Source: Alexandria, functional GGA-PBE.

Unit cell a=17.1852 b=5.5126 c=9.3498 alpha=90.00 beta=117.30 gamma=90.00
Closest atoms and distances in Å follow each position.
Space group C2/m (No. 12)
One atom of each set of equivalent atoms:
Sr 0.1305 0.0000 0.1958 [4 per cell]  5 Hg 3.42-3.56, 2 Nd 3.75
Nd 0.0669 0.0000 0.7154 [4 per cell]  3 Hg 3.33-3.43, 4 Nd 3.61-3.72
Nd 0.1186 0.5000 0.5230 [4 per cell]  4 Hg 3.04-3.40
Nd 0.1948 0.5000 0.9994 [4 per cell]  2 Hg 3.05-3.24, 2 Nd 3.34
Hg 0.0047 0.5000 0.1605 [4 per cell]  1 Hg 2.93, 2 Nd 3.04-3.05
Hg 0.2287 0.0000 0.6132 [4 per cell]  5 Nd 3.23-3.40, 3 Sr 3.47-3.56

Calculated values
**Formation energy from the elements**: -146 kJ/mol of formula units
**Energy above the most stable polymorph in this dataset**: 62.2 meV per atom

11.
A relaxed structure of MnAs2CSe. Source: Alexandria, functional GGA-PBE.

Unit cell a=4.4545 b=4.4545 c=4.8642 alpha=90.00 beta=90.00 gamma=90.00
Closest atoms and distances in Å follow each position.
Space group P4/mmm (No. 123)
One atom of each set of equivalent atoms:
Mn 0.0000 0.0000 0.0000 [1 per cell]  4 As 2.23, 2 Se 2.43
As 0.0000 0.5000 0.0000 [2 per cell]  2 Mn 2.23
C 0.5000 0.5000 0.5000 [1 per cell]  4 Se 3.15, 8 As 3.30
Se 0.0000 0.0000 0.5000 [1 per cell]  2 Mn 2.43

Calculated values
**Energy above the most stable polymorph in this dataset**: 217.4 meV per atom

12.
A relaxed structure of BeP3Cl. Source: Alexandria, functional GGA-PBE.

Unit cell a=4.3367 b=4.3367 c=4.3367 alpha=90.00 beta=90.00 gamma=90.00
Closest atoms and distances in Å follow each position.
Space group Pm-3m (No. 221)
One atom of each set of equivalent atoms:
Be 0.0000 0.0000 0.0000 [1 per cell]  6 P 2.17
P 0.0000 0.0000 0.5000 [3 per cell]  2 Be 2.17
Cl 0.5000 0.5000 0.5000 [1 per cell]  12 P 3.07

Calculated values
**Energy above the most stable polymorph in this dataset**: 0.0 meV per atom

13.
A relaxed structure of Co2Tc. Source: Alexandria, functional GGA-PBE.

Unit cell a=5.7804 b=5.7804 c=4.7524 alpha=90.00 beta=90.00 gamma=90.00
Closest atoms and distances in Å follow each position.
Space group I4/mcm (No. 140)
One atom of each set of equivalent atoms:
Co 0.1357 0.3643 0.0000 [8 per cell]  1 Co 2.22
Tc 0.0000 0.0000 0.2500 [4 per cell]  2 Tc 2.38, 8 Co 2.54

Calculated values
**Formation energy from the elements**: 140 kJ/mol of formula units
**Energy above the most stable polymorph in this dataset**: 491.4 meV per atom

14.
A relaxed structure of CsSi2HgB. Source: Alexandria, functional GGA-PBE.

Unit cell a=5.7069 b=5.7069 c=4.2524 alpha=90.00 beta=90.00 gamma=90.00
Closest atoms and distances in Å follow each position.
Space group P4/mmm (No. 123)
One atom of each set of equivalent atoms:
Cs 0.0000 0.0000 0.0000 [1 per cell]  8 Si 3.56
Si 0.0000 0.5000 0.5000 [2 per cell]  2 Hg 2.85
Hg 0.5000 0.5000 0.5000 [1 per cell]  2 B 2.13
B 0.5000 0.5000 0.0000 [1 per cell]  2 Hg 2.13

15.
A relaxed structure of Ho2TlOs. Source: Alexandria, functional GGA-PBE.

Unit cell a=5.0050 b=5.0050 c=3.6222 alpha=90.00 beta=90.00 gamma=90.00
Closest atoms and distances in Å follow each position.
Space group P4/mmm (No. 123)
One atom of each set of equivalent atoms:
Ho 0.0000 0.5000 0.0000 [2 per cell]  4 Tl 3.09, 4 Os 3.09
Tl 0.0000 0.0000 0.5000 [1 per cell]  8 Ho 3.09
Os 0.5000 0.5000 0.5000 [1 per cell]  8 Ho 3.09

Calculated values
**Formation energy from the elements**: -55 kJ/mol of formula units
**Energy above the most stable polymorph in this dataset**: 21.1 meV per atom

16.
A relaxed structure of PrNi5. Source: Alexandria, functional GGA-PBE.

Unit cell a=4.9829 b=4.9829 c=3.9680 alpha=90.00 beta=90.00 gamma=120.00
Closest atoms and distances in Å follow each position.
Space group P6/mmm (No. 191)
One atom of each set of equivalent atoms:
Pr 0.0000 0.0000 0.0000 [1 per cell]  18 Ni 2.88-3.18
Ni 0.0000 0.5000 0.5000 [3 per cell]  8 Ni 2.45-2.49
Ni 0.3333 0.6667 0.0000 [2 per cell]  6 Ni 2.45

Calculated values
**Formation energy from the elements**: -150 kJ/mol of formula units

17.
A relaxed structure of Ac2La3Sm6. Source: Alexandria, functional GGA-PBE.

Unit cell a=6.4493 b=8.3489 c=8.3610 alpha=107.61 beta=97.64 gamma=104.92
Closest atoms and distances in Å follow each position.
Space group P-1 (No. 2)
One atom of each set of equivalent atoms:
Ac 0.0936 0.3611 0.3140 [2 per cell]  7 Sm 3.71-3.78, 4 La 3.74-3.81, 1 Ac 3.82
La 0.0000 0.0000 0.5000 [1 per cell]  8 Sm 3.69-3.75, 2 La 3.71, 2 Ac 3.74
La 0.3625 0.4510 0.7798 [2 per cell]  2 La 3.62-3.71, 7 Sm 3.69-3.85, 3 Ac 3.74-3.81
Sm 0.1825 0.7331 0.1394 [2 per cell]  6 Sm 3.64-3.80, 4 La 3.69-3.74, 2 Ac 3.72-3.76
Sm 0.2789 0.0904 0.9559 [2 per cell]  7 Sm 3.64-3.79, 3 La 3.69-3.75, 2 Ac 3.71-3.72
Sm 0.4541 0.8252 0.5924 [2 per cell]  5 Sm 3.64-3.71, 4 La 3.69-3.85, 3 Ac 3.74-3.78

Calculated values
**Formation energy from the elements**: 34 kJ/mol of formula units

18.
A relaxed structure of PaNiBi. Source: Alexandria, functional GGA-PBE.

Unit cell a=3.4127 b=3.4127 c=11.5401 alpha=90.00 beta=90.00 gamma=90.00
Closest atoms and distances in Å follow each position.
Space group I4mm (No. 107)
One atom of each set of equivalent atoms:
Pa 0.0000 0.0000 0.0000 [2 per cell]  4 Ni 2.79
Ni 0.0000 0.0000 0.6208 [2 per cell]  4 Pa 2.79, 4 Bi 3.06
Bi 0.0000 0.0000 0.2834 [2 per cell]  4 Ni 3.06, 1 Pa 3.27, 4 Bi 3.41

Calculated values
**Formation energy from the elements**: -29 kJ/mol of formula units

19.
A relaxed structure of Li2HoPd6. Source: Alexandria, functional GGA-PBE.

Unit cell a=4.5712 b=7.6556 c=8.4395 alpha=90.00 beta=90.00 gamma=90.00
Closest atoms and distances in Å follow each position.
Space group Immm (No. 71)
One atom of each set of equivalent atoms:
Li 0.0000 0.0000 0.1497 [4 per cell]  1 Li 2.53, 8 Pd 2.54-2.83
Ho 0.0000 0.0000 0.5000 [2 per cell]  8 Pd 2.81-2.83, 2 Li 2.96
Pd 0.0000 0.2871 0.0000 [4 per cell]  2 Li 2.54, 6 Pd 2.75-2.83, 2 Ho 2.81
Pd 0.0000 0.3150 0.3250 [8 per cell]  3 Li 2.70-2.83, 7 Pd 2.75-2.95, 1 Ho 2.83

Calculated values
**Formation energy from the elements**: -376 kJ/mol of formula units

20.
A relaxed structure of Sm2LuPd. Source: Alexandria, functional GGA-PBE.

Unit cell a=3.6574 b=3.6574 c=8.2297 alpha=90.00 beta=90.00 gamma=90.00
Closest atoms and distances in Å follow each position.
Space group P4/mmm (No. 123)
One atom of each set of equivalent atoms:
Sm 0.0000 0.0000 0.2071 [2 per cell]  4 Pd 3.10, 1 Sm 3.41
Lu 0.5000 0.5000 0.5000 [1 per cell]  8 Sm 3.54, 4 Lu 3.66
Pd 0.5000 0.5000 0.0000 [1 per cell]  8 Sm 3.10

Calculated values
**Formation energy from the elements**: -133 kJ/mol of formula units
**Energy above the most stable polymorph in this dataset**: 0.0 meV per atom

| no. | total moment (μB per formula unit) | total DFT energy (no corrections) (eV/cell) |
| --- | --- | --- |
| 1 | 0.94 | -96.37 |
| 2 | 0.00 | -16.64 |
| 3 | 0.00 | -9.89 |
| 4 | 0.00 | -137.14 |
| 5 | 1.82 | -147.00 |
| 6 | 0.00 | -21.48 |
| 7 | 0.00 | -39.13 |
| 8 | 2.68 | -169.59 |
| 9 | 1.31 | -24.52 |
| 10 | 0.00 | -72.40 |
| 11 | 1.20 | -23.24 |
| 12 | 0.00 | -17.77 |
| 13 | 2.54 | -92.50 |
| 14 | 0.00 | -11.85 |
| 15 | 0.00 | -23.32 |
| 16 | 1.50 | -35.24 |
| 17 | 0.00 | -50.97 |
| 18 | 0.33 | -38.91 |
| 19 | 0.00 | -86.92 |
| 20 | 0.00 | -20.53 |